## Ce2ErZrP4 (GGA-PBE)

Data for a relaxed structure of Ce2ErZrP4.

Computed properties:
The total energy is -58.65 eV per cell. The value obtained for the density of states at the Fermi level is 8.30 states/eV/f.u. For the volume, the calculation gives 175.5 Å³ per cell. Its crystal system is monoclinic.

```
data_Ce2ErZrP4
_space_group_name_H-M_alt 'P 1'
_space_group_IT_number 1
_space_group_name_Hall 'P 1'
_cell_length_a 3.957
_cell_length_b 6.862
_cell_length_c 6.854
_cell_angle_alpha 109.39
_cell_angle_beta 90.00
_cell_angle_gamma 90.00
loop_
_atom_site_label
_atom_site_type_symbol
_atom_site_fract_x
_atom_site_fract_y
_atom_site_fract_z
P1 P 0.000 0.247 0.762
P2 P 0.000 0.753 0.238
P3 P 0.500 0.239 0.235
P4 P 0.500 0.761 0.765
Ce1 Ce 0.500 0.000 0.500
Ce2 Ce 0.000 0.500 0.500
Zr1 Zr 0.000 0.000 0.000
Er1 Er 0.500 0.500 0.000
```



## Tb3NdDy12 (GGA-PBE)

Data for a relaxed structure of Tb3NdDy12.

Computed properties:
The total energy is -73.59 eV per cell. The value obtained for the density of states at the Fermi level is 21.23 states/eV/f.u. For the volume, the calculation gives 507.5 Å³ per cell. Its crystal system is tetragonal.

```
data_Tb3NdDy12
_space_group_name_H-M_alt 'P 1'
_space_group_IT_number 1
_space_group_name_Hall 'P 1'
_cell_length_a 5.026
_cell_length_b 5.026
_cell_length_c 20.092
_cell_angle_alpha 90.00
_cell_angle_beta 90.00
_cell_angle_gamma 90.00
loop_
_atom_site_label
_atom_site_type_symbol
_atom_site_fract_x
_atom_site_fract_y
_atom_site_fract_z
Tb1 Tb 0.000 0.000 0.749
Tb2 Tb 0.000 0.000 0.500
Tb3 Tb 0.000 0.000 0.251
Dy1 Dy 0.500 0.000 0.625
Dy2 Dy 0.500 0.500 0.500
Dy3 Dy 0.500 0.000 0.874
Dy4 Dy 0.500 0.500 0.000
Dy5 Dy 0.000 0.500 0.874
Dy6 Dy 0.500 0.500 0.251
Dy7 Dy 0.000 0.500 0.375
Dy8 Dy 0.500 0.500 0.749
Dy9 Dy 0.500 0.000 0.126
Dy10 Dy 0.500 0.000 0.375
Dy11 Dy 0.000 0.500 0.625
Dy12 Dy 0.000 0.500 0.126
Nd1 Nd 0.000 0.000 0.000
```



## BrCl3F (GGA-PBE)

Data for a relaxed structure of BrCl3F.

Computed properties:
The value obtained for the formation energy from raw total energies is 0.39 eV/atom. The value obtained for the density of states at the Fermi level is 23.52 states/eV/f.u. For the volume, the calculation gives 128.2 Å³ per cell. Its crystal system is cubic.

```
data_BrCl3F
_space_group_name_H-M_alt 'P 1'
_space_group_IT_number 1
_space_group_name_Hall 'P 1'
_cell_length_a 5.042
_cell_length_b 5.042
_cell_length_c 5.042
_cell_angle_alpha 90.00
_cell_angle_beta 90.00
_cell_angle_gamma 90.00
loop_
_atom_site_label
_atom_site_type_symbol
_atom_site_fract_x
_atom_site_fract_y
_atom_site_fract_z
Cl1 Cl 0.500 0.000 0.000
Cl2 Cl 0.000 0.000 0.500
Cl3 Cl 0.000 0.500 0.000
Br1 Br 0.000 0.000 0.000
F1 F 0.500 0.500 0.500
```



## KPaCrN3 (GGA-PBE)

Data for a relaxed structure of KPaCrN3.

Computed properties:
The value obtained for the formation energy from raw total energies is -0.88 eV/atom. The value obtained for the density of states at the Fermi level is 2.19 states/eV/f.u. For the volume, the calculation gives 186.4 Å³ per cell. Its crystal system is monoclinic.

```
data_KPaCrN3
_space_group_name_H-M_alt 'P 1'
_space_group_IT_number 1
_space_group_name_Hall 'P 1'
_cell_length_a 3.737
_cell_length_b 6.875
_cell_length_c 7.782
_cell_angle_alpha 103.78
_cell_angle_beta 90.00
_cell_angle_gamma 105.77
loop_
_atom_site_label
_atom_site_type_symbol
_atom_site_fract_x
_atom_site_fract_y
_atom_site_fract_z
Cr1 Cr 0.994 0.988 0.693
Cr2 Cr 0.006 0.012 0.307
N1 N 0.492 0.984 0.685
N2 N 0.168 0.336 0.397
N3 N 0.853 0.707 0.248
N4 N 0.147 0.293 0.752
N5 N 0.508 0.016 0.315
N6 N 0.832 0.664 0.603
K1 K 0.360 0.720 0.939
K2 K 0.640 0.280 0.061
Pa1 Pa 0.652 0.304 0.579
Pa2 Pa 0.348 0.696 0.421
```



## Pu2ZrPaP4 (GGA-PBE)

Data for a relaxed structure of Pu2ZrPaP4.

Computed properties:
The total energy is -78.61 eV per cell. The value obtained for the density of states at the Fermi level is 18.85 states/eV/f.u. For the volume, the calculation gives 171.0 Å³ per cell. Its crystal system is monoclinic.

```
data_Pu2ZrPaP4
_space_group_name_H-M_alt 'P 1'
_space_group_IT_number 1
_space_group_name_Hall 'P 1'
_cell_length_a 3.925
_cell_length_b 6.790
_cell_length_c 6.799
_cell_angle_alpha 109.36
_cell_angle_beta 90.00
_cell_angle_gamma 90.00
loop_
_atom_site_label
_atom_site_type_symbol
_atom_site_fract_x
_atom_site_fract_y
_atom_site_fract_z
P1 P 0.000 0.244 0.756
P2 P 0.500 0.759 0.759
P3 P 0.500 0.241 0.241
P4 P 0.000 0.756 0.244
Zr1 Zr 0.000 0.000 0.000
Pu1 Pu 0.500 0.000 0.500
Pu2 Pu 0.000 0.500 0.500
Pa1 Pa 0.500 0.500 0.000
```



## TaInSeN2 (GGA-PBE)

Data for a relaxed structure of TaInSeN2.

Computed properties:
The value obtained for the formation energy from raw total energies is 1.72 eV/atom. The value obtained for the density of states at the Fermi level is 3.58 states/eV/f.u. For the volume, the calculation gives 85.2 Å³ per cell. Its crystal system is tetragonal.

```
data_TaInSeN2
_space_group_name_H-M_alt 'P 1'
_space_group_IT_number 1
_space_group_name_Hall 'P 1'
_cell_length_a 4.056
_cell_length_b 4.056
_cell_length_c 5.180
_cell_angle_alpha 90.00
_cell_angle_beta 90.00
_cell_angle_gamma 90.00
loop_
_atom_site_label
_atom_site_type_symbol
_atom_site_fract_x
_atom_site_fract_y
_atom_site_fract_z
N1 N 0.500 0.000 0.000
N2 N 0.000 0.500 0.000
Ta1 Ta 0.500 0.500 0.500
Se1 Se 0.000 0.000 0.500
In1 In 0.000 0.000 0.000
```



## Sr2ZnSnPt (GGA-PBE)

Data for a relaxed structure of Sr2ZnSnPt.

Computed properties:
The total energy is -16.85 eV per cell. The value obtained for the density of states at the Fermi level is 4.33 states/eV/f.u. For the volume, the calculation gives 163.6 Å³ per cell. Its crystal system is tetragonal.

```
data_Sr2ZnSnPt
_space_group_name_H-M_alt 'P 1'
_space_group_IT_number 1
_space_group_name_Hall 'P 1'
_cell_length_a 5.815
_cell_length_b 5.815
_cell_length_c 4.839
_cell_angle_alpha 90.00
_cell_angle_beta 90.00
_cell_angle_gamma 90.00
loop_
_atom_site_label
_atom_site_type_symbol
_atom_site_fract_x
_atom_site_fract_y
_atom_site_fract_z
Zn1 Zn 0.000 0.000 0.500
Sn1 Sn 0.500 0.500 0.500
Sr1 Sr 0.500 0.000 0.000
Sr2 Sr 0.000 0.500 0.000
Pt1 Pt 0.000 0.000 0.000
```



## Sr6InPb5 (GGA-PBE)

Data for a relaxed structure of Sr6InPb5.

Computed properties:
The total energy is -37.41 eV per cell. The value obtained for the density of states at the Fermi level is 5.60 states/eV/f.u. For the volume, the calculation gives 419.7 Å³ per cell. Its crystal system is monoclinic.

```
data_Sr6InPb5
_space_group_name_H-M_alt 'P 1'
_space_group_IT_number 1
_space_group_name_Hall 'P 1'
_cell_length_a 5.899
_cell_length_b 7.989
_cell_length_c 9.340
_cell_angle_alpha 90.00
_cell_angle_beta 107.55
_cell_angle_gamma 90.00
loop_
_atom_site_label
_atom_site_type_symbol
_atom_site_fract_x
_atom_site_fract_y
_atom_site_fract_z
Sr1 Sr 0.500 0.255 0.000
Sr2 Sr 0.835 0.248 0.666
Sr3 Sr 0.165 0.248 0.334
Sr4 Sr 0.500 0.745 0.000
Sr5 Sr 0.165 0.752 0.334
Sr6 Sr 0.835 0.752 0.666
Pb1 Pb 0.341 0.000 0.678
Pb2 Pb 0.000 0.500 0.000
Pb3 Pb 0.665 0.500 0.336
Pb4 Pb 0.335 0.500 0.664
Pb5 Pb 0.659 0.000 0.322
In1 In 0.000 0.000 0.000
```



## CsBaN2F (GGA-PBE)

Data for a relaxed structure of CsBaN2F.

Computed properties:
The value obtained for the formation energy from raw total energies is 0.37 eV/atom. The value obtained for the density of states at the Fermi level is 4.08 states/eV/f.u. For the volume, the calculation gives 104.6 Å³ per cell. Its crystal system is tetragonal.

```
data_CsBaN2F
_space_group_name_H-M_alt 'P 1'
_space_group_IT_number 1
_space_group_name_Hall 'P 1'
_cell_length_a 4.482
_cell_length_b 4.482
_cell_length_c 5.206
_cell_angle_alpha 90.00
_cell_angle_beta 90.00
_cell_angle_gamma 90.00
loop_
_atom_site_label
_atom_site_type_symbol
_atom_site_fract_x
_atom_site_fract_y
_atom_site_fract_z
Cs1 Cs 0.000 0.000 0.000
N1 N 0.500 0.000 0.000
N2 N 0.000 0.500 0.000
F1 F 0.000 0.000 0.500
Ba1 Ba 0.500 0.500 0.500
```



## Tb8In2Au (GGA-PBE)

Data for a relaxed structure of Tb8In2Au.

Computed properties:
The total energy is -49.08 eV per cell. The value obtained for the density of states at the Fermi level is 11.23 states/eV/f.u. For the volume, the calculation gives 322.2 Å³ per cell. Its crystal system is monoclinic.

```
data_Tb8In2Au
_space_group_name_H-M_alt 'P 1'
_space_group_IT_number 1
_space_group_name_Hall 'P 1'
_cell_length_a 5.151
_cell_length_b 6.767
_cell_length_c 9.811
_cell_angle_alpha 102.05
_cell_angle_beta 105.22
_cell_angle_gamma 90.00
loop_
_atom_site_label
_atom_site_type_symbol
_atom_site_fract_x
_atom_site_fract_y
_atom_site_fract_z
Tb1 Tb 0.791 0.693 0.582
Tb2 Tb 0.408 0.536 0.815
Tb3 Tb 0.652 0.982 0.304
Tb4 Tb 0.348 0.018 0.696
Tb5 Tb 0.209 0.307 0.418
Tb6 Tb 0.592 0.464 0.185
Tb7 Tb 0.017 0.770 0.034
Tb8 Tb 0.983 0.230 0.966
Au1 Au 0.500 0.000 0.000
In1 In 0.185 0.753 0.371
In2 In 0.815 0.247 0.629
```



## TbReS2 (GGA-PBE)

Data for a relaxed structure of TbReS2.

Computed properties:
The value obtained for the formation energy from raw total energies is -0.20 eV/atom. The value obtained for the density of states at the Fermi level is 4.05 states/eV/f.u. For the volume, the calculation gives 80.4 Å³ per cell. Its crystal system is trigonal.

```
data_TbReS2
_space_group_name_H-M_alt 'P 1'
_space_group_IT_number 1
_space_group_name_Hall 'P 1'
_cell_length_a 3.283
_cell_length_b 3.283
_cell_length_c 8.814
_cell_angle_alpha 79.27
_cell_angle_beta 79.27
_cell_angle_gamma 60.00
loop_
_atom_site_label
_atom_site_type_symbol
_atom_site_fract_x
_atom_site_fract_y
_atom_site_fract_z
S1 S 0.107 0.107 0.679
S2 S 0.893 0.893 0.321
Re1 Re 0.500 0.500 0.500
Tb1 Tb 0.000 0.000 0.000
```



## LiAcTb2S4 (GGA-PBE)

Data for a relaxed structure of LiAcTb2S4.

Computed properties:
The value obtained for the formation energy from raw total energies is -1.87 eV/atom. The value obtained for the density of states at the Fermi level is 3.87 states/eV/f.u. For the volume, the calculation gives 358.7 Å³ per cell. Its crystal system is orthorhombic.

```
data_LiAcTb2S4
_space_group_name_H-M_alt 'P 1'
_space_group_IT_number 1
_space_group_name_Hall 'P 1'
_cell_length_a 3.967
_cell_length_b 6.941
_cell_length_c 13.595
_cell_angle_alpha 90.00
_cell_angle_beta 90.00
_cell_angle_gamma 106.61
loop_
_atom_site_label
_atom_site_type_symbol
_atom_site_fract_x
_atom_site_fract_y
_atom_site_fract_z
S1 S 0.268 0.536 0.121
S2 S 0.732 0.464 0.879
S3 S 0.732 0.464 0.621
S4 S 0.000 0.000 0.500
S5 S 0.000 0.000 0.000
S6 S 0.552 0.105 0.250
S7 S 0.268 0.536 0.379
S8 S 0.448 0.895 0.750
Tb1 Tb 0.631 0.262 0.055
Tb2 Tb 0.631 0.262 0.445
Tb3 Tb 0.369 0.738 0.945
Tb4 Tb 0.369 0.738 0.555
Ac1 Ac 0.118 0.236 0.750
Ac2 Ac 0.882 0.764 0.250
Li1 Li 0.148 0.296 0.250
Li2 Li 0.852 0.704 0.750
```